This record from Alexandria describes crystalline PdRhBr2 at its relaxed geometry. The functional is GGA-PBE.

As for the uncorrected formation energy: 0.47 eV/atom. Its relative energy among the computed polymorphs is 247.1 meV/atom. Its total magnetization is 0.00 μB per cell. Its energy is -3.50 eV per atom.

It has space group Fm-3m (No. 225), with a = 6.635 Å, b = 6.635 Å, c = 6.635 Å, α = 90.00°, β = 90.00° and γ = 90.00°. The asymmetric unit holds Pd at (0.000, 0.000, 0.000), Rh at (0.000, 0.000, 0.500) and Br at (0.250, 0.250, 0.250).

---

This record from Alexandria describes crystalline PdRhBr at its relaxed geometry. The functional is GGA-PBE.

As for the uncorrected formation energy: 0.43 eV/atom. Its total magnetization is 0.00 μB per cell. Its energy is -4.30 eV per atom.

It has space group Amm2 (No. 38), with a = 11.123 Å, b = 3.205 Å, c = 6.128 Å, α = 90.00°, β = 90.00° and γ = 90.00°. The asymmetric unit holds Pd at (0.000, 0.000, 0.000), Pd at (0.500, 0.000, 0.301), Rh at (0.159, 0.000, 0.313) and Br at (0.316, 0.000, 0.007).

---

This record from Alexandria describes crystalline Pd2RhBr6 at its relaxed geometry. The functional is GGA-PBE.

As for the uncorrected formation energy: -0.16 eV/atom. Its total magnetization is 0.00 μB per cell. Its energy is -3.25 eV per atom.

It has space group C2/m (No. 12), with a = 15.635 Å, b = 3.642 Å, c = 10.477 Å, α = 90.00°, β = 111.28° and γ = 90.00°. The asymmetric unit holds Pd at (0.245, 0.000, 0.316), Rh at (0.000, 0.000, 0.000), Br at (0.078, 0.000, 0.257), Br at (0.105, 0.500, 0.979) and Br at (0.146, 0.000, 0.647).

---

This record from Alexandria describes crystalline PdRh3Br at its relaxed geometry. The functional is GGA-PBE.

As for the uncorrected formation energy: 1.54 eV/atom. Its total magnetization is 4.36 μB per cell. Its energy is -4.24 eV per atom.

It has space group Pm-3m (No. 221), with a = 4.835 Å, b = 4.835 Å, c = 4.835 Å, α = 90.00°, β = 90.00° and γ = 90.00°. The asymmetric unit holds Pd at (0.000, 0.000, 0.000), Rh at (0.000, 0.000, 0.500) and Br at (0.500, 0.500, 0.500).

---

This record from Alexandria describes crystalline PdRhS2Br2 at its relaxed geometry. The functional is GGA-PBE.

As for the uncorrected formation energy: 0.03 eV/atom. Its total magnetization is 0.00 μB per cell. Its energy is -3.99 eV per atom.

It has space group Ibam (No. 72), with a = 5.948 Å, b = 15.387 Å, c = 5.859 Å, α = 90.00°, β = 90.00° and γ = 90.00°. The asymmetric unit holds Pd at (0.000, 0.000, 0.250), Rh at (0.000, 0.500, 0.250), S at (0.233, 0.425, 0.000) and Br at (0.242, 0.167, 0.000).

---

This record from Alexandria describes crystalline PdRhSe2Br2 at its relaxed geometry. The functional is GGA-PBE.

As for the uncorrected formation energy: -0.08 eV/atom. Its total magnetization is 0.00 μB per cell. Its energy is -3.89 eV per atom.

It has space group Ibam (No. 72), with a = 5.474 Å, b = 19.205 Å, c = 5.514 Å, α = 90.00°, β = 90.00° and γ = 90.00°. The asymmetric unit holds Pd at (0.000, 0.000, 0.250), Rh at (0.000, 0.500, 0.250), Se at (0.221, 0.416, 0.000) and Br at (0.231, 0.326, 0.500).

---

- Which of these has the lowest energy?
  PdRhBr